1.
This record from the Alexandria database describes a relaxed Pu3CdFe crystal. The functional is PBE.

extended XYZ file:
```
5
Lattice="5.0489 0.0000 0.0000 0.0000 5.0489 0.0000 0.0000 0.0000 5.0489" Properties=species:S:1:pos:R:3 pbc="T T T"
Pu 0.0000 0.0000 2.5245
Pu 0.0000 2.5245 0.0000
Pu 2.5245 0.0000 0.0000
Cd 2.5245 2.5245 2.5245
Fe 0.0000 0.0000 0.0000
```

Summary:
crystal system = cubic

2.
This record from the Alexandria database describes a relaxed Pu2CdFe crystal. The functional is PBE.

extended XYZ file:
```
12
Lattice="2.8908 0.0000 0.0000 -1.4454 2.5035 0.0000 0.0000 0.0000 34.6721" Properties=species:S:1:pos:R:3 pbc="T T T"
Pu 0.0000 0.0000 3.3097
Pu 0.0000 0.0000 31.3624
Pu 0.0000 1.6690 19.8050
Pu 0.0000 1.6690 26.4244
Pu 1.4454 0.8345 8.2477
Pu 1.4454 0.8345 14.8670
Cd 0.0000 0.0000 0.0000
Cd 0.0000 1.6690 23.1147
Cd 1.4454 0.8345 11.5573
Fe 0.0000 0.0000 17.3360
Fe 0.0000 1.6690 5.7787
Fe 1.4454 0.8345 28.8934
```

Summary:
crystal system = trigonal
E above lowest polymorph = 496.6 meV per atom

V: 25.7, 20.9 (Å³ per atom)
Total magnetic moment: 16.22, 35.61 (μB/cell)
Final energy: -10.333, -9.027 (eV per atom)